(1)
Here is crystalline ScAgI2O at its relaxed geometry from Alexandria via LeMat-Bulk. Energies are from PBE.

Unit cell a=5.941 b=5.941 c=3.888 alpha=90.00 beta=90.00 gamma=90.00
Space group P4/mmm (No. 123)
Inequivalent atoms, fractional coordinates:
Sc 0.000 0.000 0.000
Ag 0.500 0.500 0.500
I 0.000 0.500 0.000
O 0.000 0.000 0.500

Values from the calculation:
* E_tot: -4.571 eV per atom
* energy above the most stable polymorph in this dataset: 0.00 eV/f.u.
* raw formation energy: -1.122 eV per atom

=====

(2)
Here is crystalline Rb2YTc2 at its relaxed geometry from Alexandria via LeMat-Bulk. Energies are from PBE.

Unit cell a=9.818 b=9.818 c=2.884 alpha=90.00 beta=90.00 gamma=90.00
Space group P4/mbm (No. 127)
Inequivalent atoms, fractional coordinates:
Rb 0.117 0.383 0.000
Y 0.000 0.000 0.000
Tc 0.188 0.688 0.500

Values from the calculation:
* E_tot: -4.010 eV per atom
* energy of formation from the pure elements: 1.82 eV/atom
* energy above the most stable polymorph in this dataset: 4.48 eV/f.u.

=====

(3)
Here is crystalline La3VIn at its relaxed geometry from Alexandria via LeMat-Bulk. Energies are from PBE.

Unit cell a=5.402 b=5.402 c=5.402 alpha=90.00 beta=90.00 gamma=90.00
Space group Pm-3m (No. 221)
Inequivalent atoms, fractional coordinates:
La 0.000 0.000 0.500
V 0.000 0.000 0.000
In 0.500 0.500 0.500

Values from the calculation:
* E_tot: -5.165 eV per atom
* energy of formation from the pure elements: 0.16 eV/atom
* energy above the most stable polymorph in this dataset: 0.00 eV/f.u.

=====

(4)
Here is crystalline Li2ScF5 at its relaxed geometry from Alexandria via LeMat-Bulk. Energies are from PBE.

Unit cell a=9.147 b=6.384 c=6.365 alpha=90.00 beta=90.00 gamma=90.00
Space group Pnma (No. 62)
Inequivalent atoms, fractional coordinates:
Li 0.167 0.033 0.057
Sc 0.017 0.250 0.579
F 0.050 0.250 0.904
F 0.066 0.038 0.327
F 0.184 0.750 0.576
F 0.241 0.250 0.586

Values from the calculation:
* E_tot: -5.846 eV per atom
* raw formation energy: -3.406 eV per atom

=====

(5)
Here is crystalline ErCo2Sn at its relaxed geometry from Alexandria via LeMat-Bulk. Energies are from PBE.

Unit cell a=4.439 b=4.439 c=3.331 alpha=90.00 beta=90.00 gamma=90.00
Space group P4/mmm (No. 123)
Inequivalent atoms, fractional coordinates:
Er 0.000 0.000 0.000
Co 0.000 0.500 0.500
Sn 0.500 0.500 0.000

Values from the calculation:
* E_tot: -5.885 eV per atom
* energy of formation from the pure elements: -0.19 eV/atom

=====

(6)
Here is crystalline Ba2PuReO6 at its relaxed geometry from Alexandria via LeMat-Bulk. Energies are from PBE.

Unit cell a=8.500 b=8.500 c=8.500 alpha=90.00 beta=90.00 gamma=90.00
Space group Fm-3m (No. 225)
Inequivalent atoms, fractional coordinates:
Ba 0.250 0.250 0.250
Pu 0.000 0.000 0.000
Re 0.000 0.000 0.500
O 0.000 0.000 0.264

Values from the calculation:
* E_tot: -8.512 eV per atom
* raw formation energy: -2.475 eV per atom

=====

(7)
Here is crystalline ThSnTe at its relaxed geometry from Alexandria via LeMat-Bulk. Energies are from PBE.

Unit cell a=4.367 b=4.367 c=18.758 alpha=90.00 beta=90.00 gamma=90.00
Space group I4/mmm (No. 139)
Inequivalent atoms, fractional coordinates:
Th 0.000 0.000 0.133
Sn 0.000 0.500 0.000
Te 0.000 0.000 0.312

Values from the calculation:
* E_tot: -5.832 eV per atom
* raw formation energy: -0.978 eV per atom

=====

(8)
Here is crystalline UMnB at its relaxed geometry from Alexandria via LeMat-Bulk. Energies are from PBE.

Unit cell a=2.833 b=2.833 c=9.312 alpha=90.00 beta=90.00 gamma=90.00
Space group I4mm (No. 107)
Inequivalent atoms, fractional coordinates:
U 0.000 0.000 0.000
Mn 0.000 0.000 0.281
B 0.000 0.000 0.703

Values from the calculation:
* E_tot: -9.080 eV per atom
* energy of formation from the pure elements: -0.04 eV/atom

=====

(9)
Here is crystalline PmCu6Ag6 at its relaxed geometry from Alexandria via LeMat-Bulk. Energies are from PBE.

Unit cell a=5.116 b=9.019 c=9.191 alpha=90.00 beta=90.00 gamma=90.00
Space group Immm (No. 71)
Inequivalent atoms, fractional coordinates:
Pm 0.000 0.000 0.000
Cu 0.000 0.500 0.272
Cu 0.250 0.250 0.250
Ag 0.000 0.000 0.346
Ag 0.000 0.299 0.500
Ag 0.000 0.349 0.000

Values from the calculation:
* E_tot: -3.613 eV per atom
* energy of formation from the pure elements: -0.04 eV/atom

=====

(10)
Here is crystalline Zn4Pb5 at its relaxed geometry from Alexandria via LeMat-Bulk. Energies are from PBE.

Unit cell a=9.250 b=9.250 c=5.362 alpha=90.00 beta=90.00 gamma=90.00
Space group I4/mmm (No. 139)
Inequivalent atoms, fractional coordinates:
Zn 0.000 0.358 0.000
Pb 0.000 0.000 0.000
Pb 0.178 0.178 0.500

Values from the calculation:
* E_tot: -2.460 eV per atom
* energy of formation from the pure elements: 0.17 eV/atom
* energy above the most stable polymorph in this dataset: 0.00 eV/f.u.

=====

(11)
Here is crystalline BaZnCuO3 at its relaxed geometry from Alexandria via LeMat-Bulk. Energies are from PBE.

Unit cell a=9.355 b=6.557 c=6.538 alpha=90.00 beta=114.03 gamma=90.00
Space group C2/m (No. 12)
Inequivalent atoms, fractional coordinates:
Ba 0.199 0.000 0.149
Zn 0.091 0.500 0.265
Cu 0.000 0.198 0.500
O 0.040 0.260 0.803
O 0.188 0.000 0.571

Values from the calculation:
* E_tot: -5.091 eV per atom
* raw formation energy: -1.396 eV per atom

=====

(12)
Here is crystalline Tb3DyTm2Te6 at its relaxed geometry from Alexandria via LeMat-Bulk. Energies are from PBE.

Unit cell a=18.984 b=4.322 c=8.738 alpha=90.00 beta=103.91 gamma=90.00
Space group C2/m (No. 12)
Inequivalent atoms, fractional coordinates:
Tb 0.000 0.000 0.000
Tb 0.164 0.500 0.333
Dy 0.000 0.000 0.500
Tm 0.165 0.500 0.831
Te 0.002 0.500 0.750
Te 0.167 0.000 0.588
Te 0.169 0.000 0.080

Values from the calculation:
* E_tot: -5.116 eV per atom
* raw formation energy: -1.259 eV per atom